Record 1
ScAs2N: optimized geometry, PBE-GGA.

Cell and atoms, written as POSCAR:
```
ScAs2N
1.0
-2.7336 -4.7615 -2.6790
4.5365 -0.3088 -4.0800
2.7857 -4.8962 -1.1057
N As Sc
2 4 2
Direct
0.2500 0.7500 0.5000
0.5000 0.5000 0.0000
0.3750 0.4629 0.7500
0.2129 0.6250 0.2500
0.5371 0.1250 0.2500
0.8750 0.7871 0.7500
0.7500 0.2500 0.5000
0.0000 0.0000 0.0000
```

Computed properties:
Symmetry   No. 122
Formation energy from raw total energies   138 meV per atom
Spin magnetization   0.00 Bohr magnetons per cell

Record 2
ScAsN3: optimized geometry, PBE-GGA.

Cell and atoms, written as POSCAR:
```
ScAsN3
1.0
-1.5411 3.3895 -1.7383
-2.2629 0.6939 3.3590
3.0643 2.2170 1.6064
N As Sc
3 1 1
Direct
0.0000 0.5000 0.0000
0.5000 0.0000 0.0000
0.0000 0.0000 0.5000
0.5000 0.5000 0.5000
0.0000 0.0000 0.0000
```

Computed properties:
Symmetry   No. 221
Formation energy from raw total energies   1288 meV per atom
Spin magnetization   2.64 Bohr magnetons per cell

Record 3
ScTeAsN2: optimized geometry, PBE-GGA.

Cell and atoms, written as POSCAR:
```
ScTeAsN2
1.0
4.1563 0.0000 0.0000
0.0000 4.1563 0.0000
0.0000 0.0000 6.0063
As Te Sc N
1 1 1 2
Direct
0.5000 0.5000 0.5000
0.0000 0.0000 0.5000
0.0000 0.0000 0.0000
0.5000 0.0000 0.0000
0.0000 0.5000 0.0000
```

Computed properties:
Symmetry   No. 123
Formation energy from raw total energies   803 meV per atom
Spin magnetization   1.26 Bohr magnetons per cell

Record 4
ScTeAsN2: optimized geometry, PBE-GGA.

Cell and atoms, written as POSCAR:
```
ScTeAsN2
1.0
3.9680 0.0000 0.0000
0.0000 3.9680 0.0000
0.0000 0.0000 5.5608
Sc N Te As
1 2 1 1
Direct
0.5000 0.5000 0.5000
0.5000 0.0000 0.0000
0.0000 0.5000 0.0000
0.0000 0.0000 0.5000
0.0000 0.0000 0.0000
```

Computed properties:
Symmetry   No. 123
Formation energy from raw total energies   832 meV per atom
Spin magnetization   0.00 Bohr magnetons per cell

Record 5
ThScAsN: optimized geometry, PBE-GGA.

Cell and atoms, written as POSCAR:
```
ThScAsN
1.0
-2.3314 -1.0942 -3.4115
3.0942 -2.6668 -1.2591
-3.8453 -6.7199 4.7831
Th N As Sc
2 2 2 2
Direct
0.5000 0.0000 0.1169
0.0000 0.5000 0.8831
0.0000 0.0000 0.0000
0.5000 0.5000 0.0000
0.5000 0.0000 0.6816
0.0000 0.5000 0.3184
0.0000 0.0000 0.5000
0.5000 0.5000 0.5000
```

Computed properties:
Symmetry   No. 129
Formation energy from raw total energies   -1373 meV per atom
Spin magnetization   0.94 Bohr magnetons per cell

Record 6
Tm2Sc4As3N2: optimized geometry, PBE-GGA.

Cell and atoms, written as POSCAR:
```
Tm2Sc4As3N2
1.0
-0.8110 3.2062 2.6669
0.8972 -2.5191 3.3013
10.8896 2.8600 -3.5110
Tm Sc As N
2 4 3 2
Direct
0.3053 0.3053 0.6107
0.6947 0.6947 0.3893
0.4204 0.9204 0.8409
0.0796 0.5796 0.1591
0.9204 0.4204 0.8409
0.5796 0.0796 0.1591
0.0000 0.0000 0.0000
0.8237 0.8237 0.6475
0.1763 0.1763 0.3525
0.4047 0.4047 0.8094
0.5953 0.5953 0.1906
```

Computed properties:
Symmetry   No. 139
Formation energy from raw total energies   -1410 meV per atom
Spin magnetization   0.00 Bohr magnetons per cell

Record 7
ScU2As2N2: optimized geometry, PBE-GGA.

Cell and atoms, written as POSCAR:
```
ScU2As2N2
1.0
-2.2825 -0.0577 -3.0268
2.4230 -3.6560 -4.1320
-2.6933 -5.8316 -0.2324
N Sc As U
2 1 2 2
Direct
0.2108 0.6701 0.9084
0.7892 0.3299 0.0916
0.0000 0.0000 0.0000
0.5662 0.2038 0.6638
0.4338 0.7962 0.3362
0.8119 0.6361 0.7401
0.1881 0.3639 0.2599
```

Computed properties:
Symmetry   No. 12
Formation energy from raw total energies   -1285 meV per atom
Spin magnetization   3.00 Bohr magnetons per cell

Record 8
As2SeN: optimized geometry, PBE-GGA.

Cell and atoms, written as POSCAR:
```
As2SeN
1.0
0.0000 3.1658 3.1658
3.1658 0.0000 3.1658
3.1658 3.1658 0.0000
As N Se
2 1 1
Direct
0.7500 0.7500 0.7500
0.2500 0.2500 0.2500
0.0000 0.0000 0.0000
0.5000 0.5000 0.5000
```

Computed properties:
Symmetry   No. 225
Formation energy from raw total energies   1258 meV per atom
Spin magnetization   0.00 Bohr magnetons per cell

- The highest spin magnetization belongs to which entry?
  ScU2As2N2

- Among the records above, which one has the highest formation energy from raw total energies?
  ScAsN3

- The highest spin magnetization belongs to which entry?
  ScU2As2N2